Entry from Alexandria via LeMat-Bulk: a relaxed TlPb2Se2O6 crystal (PBE-GGA).

Structure (CIF):
```
data_TlPb2Se2O6
_chemical_formula_sum 'Tl1 Pb2 Se2 O6'
_symmetry_space_group_name_H-M 'P -1'
_symmetry_Int_Tables_number 2
_cell_length_a 5.550
_cell_length_b 6.828
_cell_length_c 6.962
_cell_angle_alpha 104.56
_cell_angle_beta 90.05
_cell_angle_gamma 113.95
loop_
_symmetry_equiv_pos_as_xyz
'x,y,z'
'-x,-y,-z'
loop_
_atom_site_label
_atom_site_fract_x
_atom_site_fract_y
_atom_site_fract_z
Tl1 0.000 0.000 0.000
Pb1 0.357 0.714 0.679
Se1 0.285 0.569 0.163
O1 0.069 0.614 0.331
O2 0.402 0.806 0.078
O3 0.455 0.386 0.669
```

## Properties
Total magnetization, μB per atom: 0.000
Energy, eV for the cell shown: -55.441
ΔE_f (raw), eV per atom: -0.813

***

Entry from Alexandria via LeMat-Bulk: a relaxed SmPu2Cd crystal (PBE-GGA).

Structure (CIF):
```
data_SmPu2Cd
_chemical_formula_sum 'Sm1 Pu2 Cd1'
_symmetry_space_group_name_H-M 'P 4/m m m'
_symmetry_Int_Tables_number 123
_symmetry_space_group_name_Hall '-P 4 2'
_cell_length_a 4.156
_cell_length_b 4.156
_cell_length_c 6.614
_cell_angle_alpha 90.00
_cell_angle_beta 90.00
_cell_angle_gamma 90.00
loop_
_atom_site_label
_atom_site_fract_x
_atom_site_fract_y
_atom_site_fract_z
Sm1 0.000 0.000 0.000
Pu1 0.500 0.500 0.268
Cd1 0.000 0.000 0.500
```

## Properties
Total magnetization, μB per atom: 3.304
Energy, eV for the cell shown: -33.631
Excess energy over the best structure of this formula in the dataset, kJ/mol of atoms: 10.9
Energy of formation, eV per atom: 0.17

***

Entry from Alexandria via LeMat-Bulk: a relaxed Nd2Dy4TmMg crystal (PBE-GGA).

Structure (CIF):
```
data_Nd2Dy4TmMg
_chemical_formula_sum 'Nd2 Dy4 Tm1 Mg1'
_symmetry_space_group_name_H-M 'P 4/m m m'
_symmetry_Int_Tables_number 123
_symmetry_space_group_name_Hall '-P 4 2'
_cell_length_a 4.982
_cell_length_b 4.982
_cell_length_c 10.093
_cell_angle_alpha 90.00
_cell_angle_beta 90.00
_cell_angle_gamma 90.00
loop_
_atom_site_label
_atom_site_fract_x
_atom_site_fract_y
_atom_site_fract_z
Nd1 0.000 0.000 0.000
Nd2 0.500 0.500 0.500
Dy1 0.000 0.500 0.250
Tm1 0.000 0.000 0.500
Mg1 0.500 0.500 0.000
```

## Properties
Total magnetization, μB per atom: 0.000
Energy, eV for the cell shown: -33.777
Energy of formation, eV per atom: 0.03

***

Entry from Alexandria via LeMat-Bulk: a relaxed PaMnAs2 crystal (PBE-GGA).

Structure (CIF):
```
data_PaMnAs2
_chemical_formula_sum 'Pa3 Mn3 As6'
_symmetry_space_group_name_H-M 'R -3 m'
_symmetry_Int_Tables_number 166
_symmetry_space_group_name_Hall '-R 3 2"'
_cell_length_a 3.1461
_cell_length_b 3.1461
_cell_length_c 29.4022
_cell_angle_alpha 90.00
_cell_angle_beta 90.00
_cell_angle_gamma 120.00
loop_
_atom_site_label
_atom_site_fract_x
_atom_site_fract_y
_atom_site_fract_z
Pa1 0.0000 0.0000 0.0000
Mn1 0.0000 0.0000 0.5000
As1 0.0000 0.0000 0.4161
```

## Properties
Total magnetization, μB per atom: 1.024
Energy, eV for the cell shown: -82.788
Energy of formation, eV per atom: 0.09